Entry 1:
Computed, not measured: a relaxed structure of MgNbS2 at the PBEsol level of DFT.

Geometry as extended XYZ:
```
4
Lattice="1.651 0.953 8.312 -1.651 0.953 8.312 0.000 -1.907 8.312" Properties=species:S:1:pos:R:3 pbc="T T T"
Mg 0.000 0.000 0.000
Nb 0.000 0.000 12.468
S 0.000 0.000 2.569
S 0.000 0.000 22.367
```

Values from the calculation:
- Raw total energy: -6.204 eV/atom
- Fermi-level density of states: 2.1 states/eV per cell

=====

Entry 2:
Computed, not measured: a relaxed structure of CrReW2 at the PBEsol level of DFT.

Geometry as extended XYZ:
```
4
Lattice="3.075 0.000 0.000 0.000 4.317 0.000 0.000 0.000 4.344" Properties=species:S:1:pos:R:3 pbc="T T T"
Cr 0.000 0.000 0.000
Re 1.538 0.000 2.172
W 0.000 2.158 2.172
W 1.538 2.158 0.000
```

Values from the calculation:
- Formation energy from the elements: 92.6 meV/atom
- Fermi-level density of states: 3.4 states/eV per cell

=====

Repeat the first record exactly.
Computed, not measured: a relaxed structure of MgNbS2 at the PBEsol level of DFT.

Geometry as extended XYZ:
```
4
Lattice="1.651 0.953 8.312 -1.651 0.953 8.312 0.000 -1.907 8.312" Properties=species:S:1:pos:R:3 pbc="T T T"
Mg 0.000 0.000 0.000
Nb 0.000 0.000 12.468
S 0.000 0.000 2.569
S 0.000 0.000 22.367
```

Values from the calculation:
- Raw total energy: -6.204 eV/atom
- Fermi-level density of states: 2.1 states/eV per cell

=====

Q: Which of these has the highest Fermi-level density of states?
A: CrReW2

=====

Q: Which value of Fermi-level density of states does entry 1 give?
A: 2.1 states/eV per cell